# 1
CsTbBiTe3 after structural relaxation, computed with PBE-GGA.

Structure (POSCAR):
```
CsTbBiTe3
1.0
2.2267 -9.0460 0.0000
2.2267 9.0460 0.0000
0.0000 0.0000 12.0096
Cs Tb Bi Te
2 2 2 6
direct
0.2418 0.7582 0.7500 Cs
0.7582 0.2418 0.2500 Cs
0.0000 0.0000 0.0000 Tb
0.0000 0.0000 0.5000 Tb
0.4548 0.5452 0.2500 Bi
0.5452 0.4548 0.7500 Bi
0.0804 0.9196 0.2500 Te
0.3790 0.6210 0.0238 Te
0.3790 0.6210 0.4762 Te
0.6210 0.3790 0.5238 Te
0.6210 0.3790 0.9762 Te
0.9196 0.0804 0.7500 Te
```

Computed properties:
VASP energy = -3.9449 eV/atom
magnetization = 0.01 Bohr magnetons per cell
space group = Cmcm

***

# 2
LiAcNi after structural relaxation, computed with PBE-GGA.

Structure (POSCAR):
```
LiAcNi
1.0
6.8665 0.0000 0.0000
0.0000 6.8665 0.0000
0.0000 0.0000 6.8665
Li Ac Ni
4 4 4
direct
0.0000 0.0000 0.0000 Li
0.0000 0.5000 0.5000 Li
0.5000 0.0000 0.5000 Li
0.5000 0.5000 0.0000 Li
0.2500 0.2500 0.2500 Ac
0.2500 0.7500 0.7500 Ac
0.7500 0.2500 0.7500 Ac
0.7500 0.7500 0.2500 Ac
0.0000 0.0000 0.5000 Ni
0.0000 0.5000 0.0000 Ni
0.5000 0.0000 0.0000 Ni
0.5000 0.5000 0.5000 Ni
```

Computed properties:
relative energy among the computed polymorphs = 489.9 meV/atom
magnetization = 0.01 Bohr magnetons per cell
space group = F-43m

***

# 3
CsHfZnTe3 after structural relaxation, computed with PBE-GGA.

Structure (POSCAR):
```
CsHfZnTe3
1.0
10.1790 0.0000 0.0000
0.0000 4.2058 0.0000
-4.4939 0.0000 9.8349
Cs Hf Zn Te
2 2 2 6
direct
0.2036 0.2500 0.2516 Cs
0.7964 0.7500 0.7484 Cs
0.3593 0.7500 0.8774 Hf
0.6407 0.2500 0.1226 Hf
0.0749 0.2500 0.5999 Zn
0.9251 0.7500 0.4001 Zn
0.1456 0.2500 0.8634 Te
0.2235 0.7500 0.5639 Te
0.4666 0.7500 0.1657 Te
0.5334 0.2500 0.8343 Te
0.7765 0.2500 0.4361 Te
0.8544 0.7500 0.1366 Te
```

Computed properties:
VASP energy = -4.3364 eV/atom
magnetization = 0.54 Bohr magnetons per cell
space group = P2_1/m

***

# 4
ScSiTc after structural relaxation, computed with PBE-GGA.

Structure (POSCAR):
```
ScSiTc
1.0
6.1395 0.0000 0.0000
0.0000 6.1395 0.0000
0.0000 0.0000 6.1395
Sc Si Tc
4 4 4
direct
0.0000 0.0000 0.0000 Sc
0.0000 0.5000 0.5000 Sc
0.5000 0.0000 0.5000 Sc
0.5000 0.5000 0.0000 Sc
0.2500 0.2500 0.7500 Si
0.2500 0.7500 0.2500 Si
0.7500 0.2500 0.2500 Si
0.7500 0.7500 0.7500 Si
0.2500 0.2500 0.2500 Tc
0.2500 0.7500 0.7500 Tc
0.7500 0.2500 0.7500 Tc
0.7500 0.7500 0.2500 Tc
```

Computed properties:
relative energy among the computed polymorphs = 1257.0 meV/atom
magnetization = 0.07 Bohr magnetons per cell
space group = F-43m

***

Which formula does entry 1 have? CsTbBiTe3

***

Repeat the fourth record exactly.
ScSiTc after structural relaxation, computed with PBE-GGA.

Structure (POSCAR):
```
ScSiTc
1.0
6.1395 0.0000 0.0000
0.0000 6.1395 0.0000
0.0000 0.0000 6.1395
Sc Si Tc
4 4 4
direct
0.0000 0.0000 0.0000 Sc
0.0000 0.5000 0.5000 Sc
0.5000 0.0000 0.5000 Sc
0.5000 0.5000 0.0000 Sc
0.2500 0.2500 0.7500 Si
0.2500 0.7500 0.2500 Si
0.7500 0.2500 0.2500 Si
0.7500 0.7500 0.7500 Si
0.2500 0.2500 0.2500 Tc
0.2500 0.7500 0.7500 Tc
0.7500 0.2500 0.7500 Tc
0.7500 0.7500 0.2500 Tc
```

Computed properties:
relative energy among the computed polymorphs = 1257.0 meV/atom
magnetization = 0.07 Bohr magnetons per cell
space group = F-43m